Record 1
VASP calculation (GGA-PBEsol) on crystalline CoPt2Au at its relaxed geometry.

Mass density (Mg/m³): 18.6
E (eV for the cell shown): -25.7
Space group: No. 123

Cell lengths 2.7353, 2.7353, 7.7031 Å; angles 90.00, 90.00, 90.00 degrees
With the nearest neighbours (Å) after each atom.
Fractional coordinates of all 4 atoms:
Au1 0.5000 0.5000 0.0000  4 Au 2.74, 8 Pt 2.88
Co1 0.5000 0.5000 0.5000  8 Pt 2.59, 4 Co 2.74
Pt1 0.0000 0.0000 0.2773  4 Co 2.59, 4 Pt 2.74, 4 Au 2.88
Pt2 0.0000 0.0000 0.7227  4 Co 2.59, 4 Pt 2.74, 4 Au 2.88

---

Record 2
VASP calculation (GGA-PBEsol) on crystalline CoPtAu2 at its relaxed geometry.

Mass density (Mg/m³): 18.0
E (eV for the cell shown): -21.9
Space group: No. 47
Energy relative to the lowest polymorph listed for this composition (meV per atom): 128.7

Cell lengths 2.8010, 3.7794, 5.6454 Å; angles 90.00, 90.00, 90.00 degrees
With the nearest neighbours (Å) after each atom.
Fractional coordinates of all 4 atoms:
Au1 0.0000 0.0000 0.7612  4 Au 2.70-2.95, 4 Co 2.71, 4 Pt 2.78
Au2 0.0000 0.0000 0.2388  4 Au 2.70-2.95, 4 Co 2.71, 4 Pt 2.78
Co1 0.5000 0.5000 0.0000  8 Au 2.71, 2 Co 2.80, 2 Pt 2.82
Pt1 0.5000 0.5000 0.5000  8 Au 2.78, 2 Pt 2.80, 2 Co 2.82

---

Repeat the second record exactly.
VASP calculation (GGA-PBEsol) on crystalline CoPtAu2 at its relaxed geometry.

Mass density (Mg/m³): 18.0
E (eV for the cell shown): -21.9
Space group: No. 47
Energy relative to the lowest polymorph listed for this composition (meV per atom): 128.7

Cell lengths 2.8010, 3.7794, 5.6454 Å; angles 90.00, 90.00, 90.00 degrees
With the nearest neighbours (Å) after each atom.
Fractional coordinates of all 4 atoms:
Au1 0.0000 0.0000 0.7612  4 Au 2.70-2.95, 4 Co 2.71, 4 Pt 2.78
Au2 0.0000 0.0000 0.2388  4 Au 2.70-2.95, 4 Co 2.71, 4 Pt 2.78
Co1 0.5000 0.5000 0.0000  8 Au 2.71, 2 Co 2.80, 2 Pt 2.82
Pt1 0.5000 0.5000 0.5000  8 Au 2.78, 2 Pt 2.80, 2 Co 2.82